A plane-wave DFT calculation with PBE was carried out for Pm3Sn5Au6 after structural relaxation.

Values from the calculation:
Size of the total moment (μB/cell): 0.00
DOS at the Fermi energy (states/eV per cell): 11.86
Calculated volume (Å³/atom): 23.3
Total DFT energy (no corrections) (eV for the cell shown): -124.69
Calculated formation energy (eV per atom): -0.60

Cell: 4.5955 10.5003 13.5342 Å, 90.00 90.00 90.00°
With the nearest neighbours (Å) after each atom.
Sites, in units of the cell vectors:
Sn 0.5000 0.4764 0.3606  5 Au 2.78-3.00
Pm 0.5000 0.7552 0.5000  6 Sn 3.41-3.48, 6 Au 3.46-3.48
Au 0.5000 0.3780 0.8366  4 Sn 2.68-2.86, 1 Au 2.94
Au 0.5000 0.0256 0.6467  4 Sn 2.78-2.90, 2 Au 3.04
Au 0.0000 0.9744 0.1467  4 Sn 2.78-2.90, 2 Au 3.04
Au 0.0000 0.6220 0.3366  4 Sn 2.68-2.86, 1 Au 2.94
Sn 0.0000 0.5236 0.8606  5 Au 2.78-3.00
Au 0.0000 0.0462 0.5000  4 Sn 2.80-2.98, 4 Au 3.04
Sn 0.5000 0.2263 0.5000  6 Au 2.90-3.19, 2 Sn 3.23
Pm 0.0000 0.2438 0.6858  6 Au 3.23-3.38, 6 Sn 3.36-3.41
Sn 0.5000 0.4764 0.6394  5 Au 2.78-3.00
Au 0.0000 0.6220 0.6634  4 Sn 2.68-2.86, 1 Au 2.94
Au 0.5000 0.3780 0.1634  4 Sn 2.68-2.86, 1 Au 2.94
Sn 0.0000 0.8773 0.3402  5 Au 2.68-2.81
Au 0.5000 0.0256 0.3533  4 Sn 2.78-2.90, 2 Au 3.04
Pm 0.5000 0.7562 0.8142  6 Au 3.23-3.38, 6 Sn 3.36-3.41
Sn 0.0000 0.5236 0.1394  5 Au 2.78-3.00
Au 0.0000 0.4371 0.5000  2 Au 2.94, 6 Sn 3.00-3.19, 2 Pm 3.23
Au 0.0000 0.9744 0.8533  4 Sn 2.78-2.90, 2 Au 3.04
Sn 0.5000 0.1227 0.8402  5 Au 2.68-2.81
Pm 0.0000 0.2448 0.0000  6 Sn 3.41-3.48, 6 Au 3.46-3.48
Sn 0.5000 0.1227 0.1598  5 Au 2.68-2.81
Au 0.5000 0.9538 0.0000  4 Sn 2.80-2.98, 4 Au 3.04
Au 0.5000 0.5629 0.0000  2 Au 2.94, 6 Sn 3.00-3.19, 2 Pm 3.23
Pm 0.0000 0.2438 0.3142  6 Au 3.23-3.38, 6 Sn 3.36-3.41
Sn 0.0000 0.8773 0.6598  5 Au 2.68-2.81
Pm 0.5000 0.7562 0.1858  6 Au 3.23-3.38, 6 Sn 3.36-3.41
Sn 0.0000 0.7737 0.0000  6 Au 2.90-3.19, 2 Sn 3.23